Compound: LaAl2Ag
Source: Alexandria via LeMat-Bulk
Functional: GGA-PBEsol
Structure: optimized geometry

The structure in POSCAR format:
```
LaAl2Ag
1.0
3.072 0.000 0.000
0.000 3.544 0.000
0.000 0.000 7.513
Ag La Al
1 1 2
Direct
0.500 0.500 0.500
0.500 0.500 0.000
0.000 0.000 0.303
0.000 0.000 0.697
```

Computed properties:
The calculation puts the total DFT energy (no corrections) at -4.4402 eV per atom. The value obtained for the magnetization is 0.0 Bohr magnetons per cell. For the formation energy, the calculation gives -22.2 kJ/mol of atoms.